No. 1
DyPu2Ge2Pd2 | PBE | optimized geometry

Cell: 4.1994 4.1994 9.0095 Å, 76.52 76.52 60.00°
With the nearest neighbours (Å) after each atom.
Element x y z (fractional)
Dy  0.0000  0.0000  0.0000  6 Ge 2.99
Pu  0.1539  0.1539  0.5382  3 Pu 2.51
Pu  0.8461  0.8461  0.4618  3 Pu 2.51
Ge  0.7341  0.7341  0.7978  3 Pd 2.49
Ge  0.2659  0.2659  0.2022  3 Pd 2.49
Pd  0.5767  0.5767  0.2700  3 Ge 2.49
Pd  0.4233  0.4233  0.7300  3 Ge 2.49

Results
The space-group type is R-3m, No. 166. The value obtained for the formation energy is -423 meV per atom.

=====

No. 2
Dy2Ge4Pd3Rh | PBE | optimized geometry

Cell: 4.1163 4.1163 10.8422 Å, 90.00 90.00 90.00°
With the nearest neighbours (Å) after each atom.
Element x y z (fractional)
Dy  0.5000  0.0000  0.2550  8 Ge 3.15-3.45, 6 Pd 3.15-3.36, 2 Rh 3.36
Dy  0.0000  0.5000  0.7450  8 Ge 3.15-3.45, 6 Pd 3.15-3.36, 2 Rh 3.36
Ge  0.5000  0.5000  0.0000  4 Pd 2.58
Ge  0.0000  0.0000  0.0000  4 Pd 2.58
Ge  0.5000  0.0000  0.6330  3 Pd 2.43-2.51, 2 Rh 2.51
Ge  0.0000  0.5000  0.3670  3 Pd 2.43-2.51, 2 Rh 2.51
Pd  0.0000  0.0000  0.5000  4 Ge 2.51
Pd  0.5000  0.0000  0.8572  5 Ge 2.43-2.58
Pd  0.0000  0.5000  0.1428  5 Ge 2.43-2.58
Rh  0.5000  0.5000  0.5000  4 Ge 2.51

Results
The space-group type is P-4m2, No. 115. The value obtained for the formation energy is -786 meV per atom.

=====

No. 3
DyGePdRh | PBE | optimized geometry

Cell: 4.6247 4.6247 4.6247 Å, 60.00 60.00 60.00°
With the nearest neighbours (Å) after each atom.
Element x y z (fractional)
Ge  0.7500  0.7500  0.7500  4 Rh 2.83, 4 Pd 2.83
Rh  0.5000  0.5000  0.5000  4 Dy 2.83, 4 Ge 2.83
Pd  0.0000  0.0000  0.0000  4 Ge 2.83, 4 Dy 2.83
Dy  0.2500  0.2500  0.2500  4 Pd 2.83, 4 Rh 2.83

Results
The space-group type is F-43m, No. 216. The value obtained for the formation energy is -694 meV per atom.

=====

No. 4
Dy2Ge4PdRh3 | PBE | optimized geometry

Cell: 4.1848 4.1848 10.2894 Å, 90.00 90.00 90.00°
With the nearest neighbours (Å) after each atom.
Element x y z (fractional)
Dy  0.5000  0.0000  0.2408  6 Rh 3.17-3.39, 8 Ge 3.21-3.24, 2 Pd 3.39
Dy  0.0000  0.5000  0.7592  6 Rh 3.17-3.39, 8 Ge 3.21-3.24, 2 Pd 3.39
Ge  0.5000  0.5000  0.0000  4 Rh 2.48
Ge  0.0000  0.0000  0.0000  4 Rh 2.48
Ge  0.5000  0.0000  0.6372  3 Rh 2.40-2.52, 2 Pd 2.52
Ge  0.0000  0.5000  0.3628  3 Rh 2.40-2.52, 2 Pd 2.52
Pd  0.5000  0.5000  0.5000  4 Ge 2.52
Rh  0.0000  0.0000  0.5000  4 Ge 2.52
Rh  0.5000  0.0000  0.8709  5 Ge 2.40-2.48
Rh  0.0000  0.5000  0.1291  5 Ge 2.40-2.48

Results
The space-group type is P-4m2, No. 115. The value obtained for the formation energy is -823 meV per atom.

=====

No. 5
DyGe2PdRu | PBE | optimized geometry

Cell: 4.1503 4.1503 5.9984 Å, 110.24 110.24 90.00°
With the nearest neighbours (Å) after each atom.
Element x y z (fractional)
Dy  0.0000  0.0000  0.0000  8 Ge 3.19, 4 Pd 3.34, 4 Ru 3.34
Ge  0.6203  0.6203  0.2407  2 Ru 2.48, 2 Pd 2.48, 1 Ge 2.52
Ge  0.3797  0.3797  0.7593  2 Pd 2.48, 2 Ru 2.48, 1 Ge 2.52
Pd  0.7500  0.2500  0.5000  4 Ge 2.48
Ru  0.2500  0.7500  0.5000  4 Ge 2.48

Results
The space-group type is I-4m2, No. 119. The value obtained for the formation energy is -699 meV per atom.

=====

No. 6
Dy3Si2GePd9 | PBE | optimized geometry

Cell: 6.3612 6.3612 8.6451 Å, 90.00 90.00 120.00°
With the nearest neighbours (Å) after each atom.
Element x y z (fractional)
Dy  0.3333  0.6667  0.7076  9 Pd 3.12-3.19
Dy  0.0000  0.0000  0.0000  12 Pd 2.93-3.18
Dy  0.6667  0.3333  0.2924  9 Pd 3.12-3.19
Si  0.3333  0.6667  0.1778  6 Pd 2.26-2.39
Si  0.6667  0.3333  0.8222  6 Pd 2.26-2.39
Ge  0.0000  0.0000  0.5000  6 Pd 2.46
Pd  0.8545  0.1455  0.7165  1 Si 2.26, 1 Ge 2.46
Pd  0.8545  0.7090  0.7165  1 Si 2.26, 1 Ge 2.46
Pd  0.2910  0.1455  0.7165  1 Si 2.26, 1 Ge 2.46
Pd  0.7090  0.8545  0.2835  1 Si 2.26, 1 Ge 2.46
Pd  0.1455  0.2910  0.2835  1 Si 2.26, 1 Ge 2.46
Pd  0.1455  0.8545  0.2835  1 Si 2.26, 1 Ge 2.46
Pd  0.5000  0.0000  0.0000  2 Si 2.39
Pd  0.0000  0.5000  0.0000  2 Si 2.39
Pd  0.5000  0.5000  0.0000  2 Si 2.39

Results
The space-group type is P-3m1, No. 164. For the formation energy (no corrections), the calculation gives -0.6317 eV/atom.

=====

No. 7
DySn2Ge2Pd7 | PBE | optimized geometry

Cell: 4.0234 4.0234 14.2762 Å, 82.90 82.90 89.20°
With the nearest neighbours (Å) after each atom.
Element x y z (fractional)
Dy  0.0000  0.0000  0.0000  12 Pd 2.82-2.95
Sn  0.8856  0.8856  0.3815  5 Pd 2.76-3.03
Sn  0.1144  0.1144  0.6185  5 Pd 2.76-3.03
Ge  0.6084  0.6084  0.7422  5 Pd 2.47-2.50
Ge  0.3916  0.3916  0.2578  5 Pd 2.47-2.50
Pd  0.5000  0.5000  0.0000  4 Dy 2.82-2.86, 8 Pd 2.94
Pd  0.3493  0.3493  0.4328  1 Ge 2.47, 1 Sn 2.76
Pd  0.6507  0.6507  0.5672  1 Ge 2.47, 1 Sn 2.76
Pd  0.9340  0.4322  0.1528  2 Ge 2.49-2.50
Pd  0.4322  0.9340  0.1528  2 Ge 2.49-2.50
Pd  0.5678  0.0660  0.8472  2 Ge 2.49-2.50
Pd  0.0660  0.5678  0.8472  2 Ge 2.49-2.50

Results
The space-group type is C2/m, No. 12. The value obtained for the formation energy is -486 meV per atom.

=====

No. 8
Sr2DyGe3Pd4 | PBE | optimized geometry

Cell: 4.4174 4.4174 11.0626 Å, 90.00 90.00 90.00°
With the nearest neighbours (Å) after each atom.
Element x y z (fractional)
Sr  0.5000  0.0000  0.2288  8 Pd 3.36-3.37, 6 Ge 3.36-3.73, 2 Dy 3.73
Sr  0.0000  0.5000  0.7712  8 Pd 3.36-3.37, 6 Ge 3.36-3.73, 2 Dy 3.73
Dy  0.5000  0.5000  0.5000  4 Pd 2.81, 4 Ge 3.12
Ge  0.0000  0.0000  0.5000  4 Pd 2.81, 4 Dy 3.12
Ge  0.5000  0.0000  0.8840  5 Pd 2.52-2.55
Ge  0.0000  0.5000  0.1160  5 Pd 2.52-2.55
Pd  0.5000  0.5000  0.0000  4 Ge 2.55
Pd  0.0000  0.0000  0.0000  4 Ge 2.55
Pd  0.5000  0.0000  0.6563  3 Ge 2.52-2.81, 2 Dy 2.81
Pd  0.0000  0.5000  0.3437  3 Ge 2.52-2.81, 2 Dy 2.81

Results
The space-group type is P-4m2, No. 115. The value obtained for the formation energy is -757 meV per atom.

=====

No. 9
TbDyGe2Pd2 | PBE | optimized geometry

Cell: 4.4299 4.4299 7.0801 Å, 90.00 90.00 120.00°
With the nearest neighbours (Å) after each atom.
Element x y z (fractional)
Tb  0.0000  0.0000  0.5000  6 Ge 3.12, 6 Pd 3.14
Dy  0.0000  0.0000  0.0000  6 Pd 3.08, 6 Ge 3.10
Ge  0.3333  0.6667  0.2481  3 Pd 2.56
Ge  0.6667  0.3333  0.7519  3 Pd 2.56
Pd  0.3333  0.6667  0.7565  3 Ge 2.56
Pd  0.6667  0.3333  0.2435  3 Ge 2.56

Results
The space-group type is P-3m1, No. 164. The value obtained for the formation energy is -929 meV per atom.

=====

No. 10
DyThGePd | PBE | optimized geometry

Cell: 5.1098 5.1098 5.1098 Å, 60.00 60.00 60.00°
With the nearest neighbours (Å) after each atom.
Element x y z (fractional)
Ge  0.2500  0.2500  0.2500  4 Th 3.13, 4 Dy 3.13
Pd  0.7500  0.7500  0.7500  4 Th 3.13, 4 Dy 3.13
Th  0.5000  0.5000  0.5000  4 Ge 3.13, 4 Pd 3.13
Dy  0.0000  0.0000  0.0000  4 Ge 3.13, 4 Pd 3.13

Results
The space-group type is F-43m, No. 216. The value obtained for the formation energy is -645 meV per atom.

=====

No. 11
DyTmGePd | PBE | optimized geometry

Cell: 4.9785 4.9785 4.9785 Å, 60.00 60.00 60.00°
With the nearest neighbours (Å) after each atom.
Element x y z (fractional)
Ge  0.0000  0.0000  0.0000  4 Dy 3.05, 4 Tm 3.05
Tm  0.7500  0.7500  0.7500  4 Ge 3.05, 4 Pd 3.05
Pd  0.5000  0.5000  0.5000  4 Tm 3.05, 4 Dy 3.05
Dy  0.2500  0.2500  0.2500  4 Ge 3.05, 4 Pd 3.05

Results
The calculation puts the distance to the lowest polymorph of the same formula at 0.079 eV/atom. The space-group type is F-43m, No. 216. The value obtained for the formation energy is -818 meV per atom.

=====

No. 12
DyTmGePd | PBE | optimized geometry

Cell: 3.8648 4.2989 5.7400 Å, 90.00 109.67 90.00°
With the nearest neighbours (Å) after each atom.
Element x y z (fractional)
Dy  0.8591  0.5000  0.7181  4 Pd 2.96, 3 Ge 2.98-3.10
Tm  0.1382  0.0000  0.2765  4 Ge 2.95, 3 Pd 3.04-3.05
Ge  0.5830  0.5000  0.1660  2 Pd 2.78, 4 Tm 2.95, 3 Dy 2.98-3.10
Pd  0.4197  0.0000  0.8394  2 Ge 2.78, 4 Dy 2.96, 3 Tm 3.04-3.05

Results
The calculation puts the distance to the lowest polymorph of the same formula at 0.000 eV/atom. The space-group type is Amm2, No. 38. The value obtained for the formation energy is -897 meV per atom.

=====

Number 1: V 18.93 Å³ per atom. Number 2: V 18.37 Å³ per atom. Number 3: V 17.49 Å³ per atom. Number 4: V 18.02 Å³ per atom. Number 5: V 18.02 Å³ per atom. Number 6: V 20.20 Å³ per atom. Number 7: V 18.96 Å³ per atom. Number 8: V 21.59 Å³ per atom. Number 9: V 20.05 Å³ per atom. Number 10: V 23.59 Å³ per atom. Number 11: V 21.81 Å³ per atom. Number 12: V 22.45 Å³ per atom.